BRuBr2 at its PBEsol-relaxed geometry. Source: Alexandria via LeMat-Bulk, functional SCAN.

Summary:
**Total moment**: 1.71 μB/cell
**E_form (uncorrected)**: 1.460 eV/atom
**Energy relative to the lowest polymorph listed for this composition**: 0.0 meV per atom
**Space-group type**: R-3m (166)

a b c (Å): 3.2506 3.2506 8.0951
angles (deg): 78.42 78.42 60.00
Closest atoms and distances in Å follow each position.
Fractional coordinates of all 4 atoms:
Ru 0.5000 0.5000 0.5000  6 Br 2.73
B 0.0000 0.0000 0.0000  2 Br 1.96
Br 0.9171 0.9171 0.2486  1 B 1.96
Br 0.0829 0.0829 0.7514  1 B 1.96